(1)
# Nb5Au (PBE, optimized geometry)
# symmetry = No. 187
# polymorph energy (0 for the lowest one) = 247 meV/atom
# energy of formation = 1.09 eV/f.u.
# volume = 111.0 Å³/cell
data_Nb5Au
_chemical_formula_sum 'Nb5 Au1'
_cell_length_a 2.887
_cell_length_b 2.887
_cell_length_c 15.382
_cell_angle_alpha 90.00
_cell_angle_beta 90.00
_cell_angle_gamma 120.00
_space_group_name_H-M_alt 'P 1'
_space_group_IT_number 1
loop_
_space_group_symop_operation_xyz
'x,y,z'
loop_
_atom_site_label
_atom_site_type_symbol
_atom_site_fract_x
_atom_site_fract_y
_atom_site_fract_z
Nb1 Nb 0.667 0.333 0.840
Nb2 Nb 0.000 0.000 0.330
Nb3 Nb 0.000 0.000 0.670
Nb4 Nb 0.667 0.333 0.160
Nb5 Nb 0.667 0.333 0.500
Au1 Au 0.000 0.000 0.000

=====

(2)
# Nb2Au3 (PBE, optimized geometry)
# symmetry = No. 139
# energy of formation = -0.51 eV/f.u.
# volume = 89.4 Å³/cell
data_Nb2Au3
_chemical_formula_sum 'Nb2 Au3'
_cell_length_a 2.934
_cell_length_b 2.934
_cell_length_c 10.597
_cell_angle_alpha 97.96
_cell_angle_beta 97.96
_cell_angle_gamma 90.00
_space_group_name_H-M_alt 'P 1'
_space_group_IT_number 1
loop_
_space_group_symop_operation_xyz
'x,y,z'
loop_
_atom_site_label
_atom_site_type_symbol
_atom_site_fract_x
_atom_site_fract_y
_atom_site_fract_z
Au1 Au 0.500 0.500 0.000
Au2 Au 0.697 0.697 0.394
Au3 Au 0.303 0.303 0.606
Nb1 Nb 0.900 0.900 0.800
Nb2 Nb 0.100 0.100 0.200

=====

(3)
# Nb3NiAu (PBE, optimized geometry)
# symmetry = No. 221
# energy of formation = 9.32 eV/f.u.
# volume = 120.2 Å³/cell
data_Nb3NiAu
_chemical_formula_sum 'Nb3 Ni1 Au1'
_cell_length_a 4.935
_cell_length_b 4.935
_cell_length_c 4.935
_cell_angle_alpha 90.00
_cell_angle_beta 90.00
_cell_angle_gamma 90.00
_space_group_name_H-M_alt 'P 1'
_space_group_IT_number 1
loop_
_space_group_symop_operation_xyz
'x,y,z'
loop_
_atom_site_label
_atom_site_type_symbol
_atom_site_fract_x
_atom_site_fract_y
_atom_site_fract_z
Nb1 Nb 0.500 0.000 0.000
Nb2 Nb 0.000 0.500 0.000
Nb3 Nb 0.000 0.000 0.500
Au1 Au 0.000 0.000 0.000
Ni1 Ni 0.500 0.500 0.500

=====

(4)
# Nb2NiAu (PBE, optimized geometry)
# symmetry = No. 225
# polymorph energy (0 for the lowest one) = 261 meV/atom
# energy of formation = 0.57 eV/f.u.
# volume = 66.9 Å³/cell
data_Nb2NiAu
_chemical_formula_sum 'Nb2 Ni1 Au1'
_cell_length_a 4.557
_cell_length_b 4.557
_cell_length_c 4.557
_cell_angle_alpha 60.00
_cell_angle_beta 60.00
_cell_angle_gamma 60.00
_space_group_name_H-M_alt 'P 1'
_space_group_IT_number 1
loop_
_space_group_symop_operation_xyz
'x,y,z'
loop_
_atom_site_label
_atom_site_type_symbol
_atom_site_fract_x
_atom_site_fract_y
_atom_site_fract_z
Ni1 Ni 0.000 0.000 0.000
Nb1 Nb 0.250 0.250 0.250
Nb2 Nb 0.750 0.750 0.750
Au1 Au 0.500 0.500 0.500

=====

Question: The lowest volume belongs to which entry?
Answer: Nb2NiAu

=====

Question: What is the formula in the third record?
Answer: Nb3NiAu

=====

Question: Look up the energy of formation of the fourth one.
Answer: 0.57 eV/f.u.

=====

Question: Number 4 is which compound?
Answer: Nb2NiAu